First-principles (PBE with a Hubbard U) data for a relaxed Li3ReNi2O6 crystal, as listed in Alexandria.

magnetization = 0.1667 μB/atom
space group = C2/m
theoretical density = 6.15 g/cm³
E_tot = -5.971 eV per atom

a = 5.2063 Å, b = 5.2063 Å, c = 5.1462 Å
α = 99.74°, β = 99.74°, γ = 120.10°
With the nearest neighbours (Å) after each atom.
Element x y z (fractional)
Li1 0.0000 0.0000 0.0000  6 O 2.13-2.24
Li2 0.3262 0.6738 0.0000  6 O 2.14-2.19
Li3 0.6738 0.3262 0.0000  6 O 2.14-2.19
Re1 0.5000 0.5000 0.5000  6 O 1.99-2.01
Ni1 0.1670 0.8330 0.5000  6 O 2.10
Ni2 0.8330 0.1670 0.5000  6 O 2.10
O1 0.1033 0.4227 0.2665  1 Re 2.01, 2 Ni 2.10, 3 Li 2.13-2.18
O2 0.2590 0.2590 0.7286  1 Re 1.99, 2 Ni 2.10, 2 Li 2.19
O3 0.4227 0.1033 0.2665  1 Re 2.01, 2 Ni 2.10, 3 Li 2.13-2.18
O4 0.5773 0.8967 0.7335  1 Re 2.01, 2 Ni 2.10, 3 Li 2.13-2.18
O5 0.7410 0.7410 0.2714  1 Re 1.99, 2 Ni 2.10, 2 Li 2.19
O6 0.8967 0.5773 0.7335  1 Re 2.01, 2 Ni 2.10, 3 Li 2.13-2.18